# Ac3CdF

A geometry-optimized Ac3CdF structure (GGA-PBE, the Alexandria database).

The structure in POSCAR format:
```
Ac3CdF
1.0
5.436 0.000 0.000
0.000 5.436 0.000
0.000 0.000 5.436
Ac F Cd
3 1 1
Cartesian
0.000 2.718 0.000
0.000 0.000 2.718
2.718 0.000 0.000
0.000 0.000 0.000
2.718 2.718 2.718
```

Theoretical density, kg/m3: 8400
Density of states at the Fermi level, states/eV/atom: 0.954
Final energy, eV per atom: -3.97
Crystal system: cubic
Space group: Pm-3m